Arrangement i

{"formula": "NbGa2Tc", "functional": "PBE", "state": "optimized geometry", "m_tot_mub_per_fu": 0.00, "dos_ef_per_ev_cell": 3.4, "lattice": [[0.0000, 3.1395, 3.1395], [3.1395, 0.0000, 3.1395], [3.1395, 3.1395, 0.0000]], "species": ["Nb", "Ga", "Ga", "Tc"], "frac_coords": [[0.0000, 0.0000, 0.0000], [0.2500, 0.2500, 0.2500], [0.7500, 0.7500, 0.7500], [0.5000, 0.5000, 0.5000]]}

***

Arrangement ii

{"formula": "NbGa2Tc", "functional": "PBE", "state": "optimized geometry", "m_tot_mub_per_fu": 0.00, "dos_ef_per_ev_cell": 3.5, "lattice": [[1.4647, 0.8457, 8.6773], [-1.4647, 0.8457, 8.6773], [0.0000, -1.6913, 8.6773]], "species": ["Nb", "Ga", "Ga", "Tc"], "frac_coords": [[0.0000, 0.0000, 0.0000], [0.4222, 0.4222, 0.4222], [0.5793, 0.5793, 0.5793], [0.8342, 0.8342, 0.8342]]}

***

Arrangement iii

{"formula": "NbGa2Tc", "functional": "PBE", "state": "optimized geometry", "m_tot_mub_per_fu": 0.52, "dos_ef_per_ev_cell": 8.1, "lattice": [[-3.5173, 3.5173, 2.7389], [3.5173, -3.5173, 2.7389], [3.5173, 3.5173, -2.7389]], "species": ["Nb", "Nb", "Ga", "Ga", "Ga", "Ga", "Tc", "Tc"], "frac_coords": [[0.0000, 0.0000, 0.0000], [0.7500, 0.2500, 0.5000], [0.1389, 0.6250, 0.0139], [0.3750, 0.3889, 0.5139], [0.6111, 0.1250, 0.9861], [0.8750, 0.8611, 0.4861], [0.2500, 0.7500, 0.5000], [0.5000, 0.5000, 0.0000]]}

***

Arrangement iv

{"formula": "NbGa2Tc", "functional": "PBE", "state": "optimized geometry", "m_tot_mub_per_fu": 0.00, "dos_ef_per_ev_cell": 4.5, "lattice": [[1.4614, 0.8438, 8.7211], [-1.4614, 0.8438, 8.7211], [0.0000, -1.6875, 8.7211]], "species": ["Nb", "Ga", "Ga", "Tc"], "frac_coords": [[0.0000, 0.0000, 0.0000], [0.2451, 0.2451, 0.2451], [0.7549, 0.7549, 0.7549], [0.5000, 0.5000, 0.5000]]}

***

The structure with the most favorable energy is arrangement ii; the runner-up is 0.031 eV/atom above it.